Density functional theory data (PBE) for crystalline KLiCa2 at its relaxed geometry.

abc: 7.089 7.089 3.807
angles: 90.00 90.00 115.93
Positions (direct):
K 0.500 0.000 0.500
Ca 0.000 0.000 0.000
Ca 0.500 0.500 0.000
Li 0.000 0.500 0.500

## Properties
* density of states at the Fermi level: 3.7 states/eV/f.u.
* space group: Cmmm
* total energy: -1.530 eV per atom
* size of the total moment: 0.00 μB/cell